The following is a PBE calculation of crystalline SrIn3Pt at its relaxed geometry, from Alexandria.

Computed properties:
The value obtained for the energy of formation is -0.5393 eV per atom. The calculation puts the total magnetization at 0.0 μB/f.u. The energy comes out at -74.54 eV for the cell shown.

Unit cell a=4.599 b=9.140 c=12.136 alpha=90.00 beta=90.00 gamma=90.00
Fractional positions:
Sr  0.750  0.805  0.003
Sr  0.250  0.695  0.503
Sr  0.750  0.305  0.497
Sr  0.250  0.195  0.997
In  0.250  0.559  0.087
In  0.750  0.441  0.913
In  0.250  0.059  0.413
In  0.750  0.941  0.587
In  0.250  0.393  0.704
In  0.750  0.107  0.204
In  0.250  0.893  0.796
In  0.750  0.642  0.711
In  0.250  0.358  0.289
In  0.750  0.142  0.789
In  0.750  0.607  0.296
In  0.250  0.858  0.211
Pt  0.250  0.108  0.641
Pt  0.250  0.608  0.859
Pt  0.750  0.392  0.141
Pt  0.750  0.892  0.359